Entry from Alexandria: crystalline HfSc2Tl2 at its relaxed geometry (PBE).

```
HfSc2Tl2
1.0
8.1203 0.0000 0.0000
0.0000 8.1203 0.0000
0.0000 0.0000 3.5812
Sc Tl Hf
4 4 2
direct
0.1676 0.6676 0.5000
0.6676 0.8324 0.5000
0.8324 0.3324 0.5000
0.3324 0.1676 0.5000
0.3632 0.8632 0.0000
0.8632 0.6368 0.0000
0.6368 0.1368 0.0000
0.1368 0.3632 0.0000
0.0000 0.0000 0.0000
0.5000 0.5000 0.0000
```

Values from the calculation:
formation enthalpy at 0 K	-0.0482	eV/atom
excess energy over the best structure of this formula in the dataset	0.0000	eV per atom
density	9.52	g/cm³

---

Entry from Alexandria: crystalline HfSc2Tl3 at its relaxed geometry (PBE).

```
HfSc2Tl3
1.0
-1.2705 0.5821 2.9197
1.9152 -2.2706 1.2861
9.2599 9.0686 2.2213
Hf Sc Tl
1 2 3
direct
0.5000 0.5000 0.5000
0.5000 0.5000 0.8316
0.5000 0.5000 0.1684
0.0000 0.0000 0.0000
0.0000 0.0000 0.6666
0.0000 0.0000 0.3334
```

Values from the calculation:
formation enthalpy at 0 K	-0.1286	eV/atom
density	10.62	g/cm³

---

Entry from Alexandria: crystalline HfSc2Tl2 at its relaxed geometry (PBE).

```
HfSc2Tl2
1.0
-1.6310 -6.7400 5.0140
-4.3328 -3.7008 -6.3842
2.7148 -1.4167 -1.0213
Sc Tl Hf
4 4 2
direct
0.3763 0.8763 0.0000
0.8763 0.6237 0.0000
0.6237 0.1237 0.0000
0.1237 0.3763 0.0000
0.1755 0.6755 0.5000
0.6755 0.8245 0.5000
0.8245 0.3245 0.5000
0.3245 0.1755 0.5000
0.0000 0.0000 0.0000
0.5000 0.5000 0.0000
```

Values from the calculation:
formation enthalpy at 0 K	0.1111	eV/atom
excess energy over the best structure of this formula in the dataset	0.1593	eV per atom
density	9.51	g/cm³

---

Entry from Alexandria: crystalline Hf2ScTl at its relaxed geometry (PBE).

```
Hf2ScTl
1.0
-3.0693 0.4457 1.0007
-1.1127 -1.6053 2.6087
1.6528 7.1979 7.1696
Hf Sc Tl
2 1 1
direct
0.0850 0.0850 0.7450
0.2487 0.2487 0.2539
0.4997 0.4997 0.5008
0.6666 0.6666 0.0003
```

Values from the calculation:
formation enthalpy at 0 K	0.0669	eV/atom
excess energy over the best structure of this formula in the dataset	0.1630	eV per atom
density	10.82	g/cm³

---

Entry from Alexandria: crystalline HfScTl at its relaxed geometry (PBE).

```
HfScTl
1.0
-1.7087 -1.6038 1.9320
-2.5912 -1.9623 -3.9208
4.1696 -2.3567 1.7315
Sc Tl Hf
1 1 1
direct
0.1672 0.3333 0.6667
0.6669 0.6667 0.3333
0.1659 0.0000 0.0000
```

Values from the calculation:
formation enthalpy at 0 K	0.2617	eV/atom
excess energy over the best structure of this formula in the dataset	0.3847	eV per atom
density	10.41	g/cm³

---

Entry from Alexandria: crystalline HfSc4Tl at its relaxed geometry (PBE).

```
HfSc4Tl
1.0
-0.8168 2.8487 -3.7757
-4.4274 0.8909 1.6297
2.4801 5.6039 3.6872
Hf Sc Tl
1 4 1
direct
0.0013 0.9972 0.4981
0.5014 0.9971 0.2539
0.5013 0.9975 0.7424
0.0014 0.4972 0.7422
0.0011 0.4972 0.2540
0.5012 0.4974 0.9982
```

Values from the calculation:
formation enthalpy at 0 K	0.4627	eV/atom
excess energy over the best structure of this formula in the dataset	0.5439	eV per atom
density	5.67	g/cm³

---

Entry from Alexandria: crystalline HfSc3Tl at its relaxed geometry (PBE).

```
HfSc3Tl
1.0
-2.4468 1.6975 -1.3754
-2.5653 -5.8078 5.2259
4.8530 8.1121 5.2904
Hf Sc Tl
2 6 2
direct
0.1702 0.8878 0.5648
0.8298 0.1122 0.4352
0.1632 0.0780 0.1715
0.8368 0.9220 0.8285
0.8299 0.5161 0.6273
0.1701 0.4839 0.3727
0.1717 0.2887 0.7668
0.8283 0.7113 0.2332
0.8333 0.3115 0.0429
0.1667 0.6885 0.9571
```

Values from the calculation:
formation enthalpy at 0 K	-0.1158	eV/atom
excess energy over the best structure of this formula in the dataset	0.0000	eV per atom
density	7.32	g/cm³

---

Entry from Alexandria: crystalline Hf2ScTl at its relaxed geometry (PBE).

```
Hf2ScTl
1.0
-3.8609 1.6129 -1.2525
-0.6374 -3.4087 -2.4248
-4.2647 -3.1000 9.1542
Hf Sc Tl
4 2 2
direct
0.7500 0.4473 0.8941
0.2500 0.5527 0.1059
0.2500 0.9482 0.8957
0.7500 0.0518 0.1043
0.2500 0.3105 0.6201
0.7500 0.6895 0.3799
0.7500 0.8342 0.6670
0.2500 0.1658 0.3330
```

Values from the calculation:
formation enthalpy at 0 K	-0.0961	eV/atom
excess energy over the best structure of this formula in the dataset	0.0000	eV per atom
density	10.52	g/cm³